## SrCa2La (GGA-PBEsol)

Data for a geometry-optimized SrCa2La structure.

a = 3.8383 Å, b = 3.8383 Å, c = 38.3710 Å
α = 90.00°, β = 90.00°, γ = 120.00°
Space group R3m (No. 160, hexagonal axes)
Unique sites:
1 Sr 0.0000 0.0000 0.0000 [3 per cell]
2 Ca 0.0000 0.0000 0.5025 [3 per cell]
3 Ca 0.0000 0.0000 0.7536 [3 per cell]
4 La 0.0000 0.0000 0.2488 [3 per cell]

D(E_F): 6.29 states/eV/f.u.
total DFT energy (no corrections): -2.7837 eV/atom
excess energy over the best structure of this formula in the dataset: 7 meV/atom
theoretical density: 3121 kg/m3
crystal system: trigonal
formation enthalpy at 0 K: 7.68 kJ/mol of atoms

## HfIn2BiB (GGA-PBEsol)

Data for a geometry-optimized HfIn2BiB structure.

a = 4.563 Å, b = 4.563 Å, c = 5.320 Å
α = 90.00°, β = 90.00°, γ = 90.00°
Space group P4/mmm (No. 123)
Unique sites:
1 Hf 0.000 0.000 0.000 [1 per cell]
2 In 0.000 0.500 0.500 [2 per cell]
3 Bi 0.500 0.500 0.000 [1 per cell]
4 B 0.500 0.500 0.500 [1 per cell]

D(E_F): 4.02 states/eV/f.u.
total DFT energy (no corrections): -4.8107 eV/atom
theoretical density: 9413 kg/m3
crystal system: tetragonal
formation enthalpy at 0 K: 71.73 kJ/mol of atoms